Entry 1:
## NbV2Si (GGA-PBE)

Data for a relaxed NbV2Si crystal.

- ΔE_f (raw) (kcal/mol of atoms) = -7.085
- total magnetic moment (μB/atom) = 0.000
- symmetry = P4/mmm (123)

Cell: 4.1135 4.1135 3.3986 Å, 90.00 90.00 90.00°
Last column: nearest neighbours and their distance in Å.
Atoms (fractional coordinates):
Nb (0.0000, 0.0000, 0.0000)  8 V 2.67, 4 Si 2.91
V (0.0000, 0.5000, 0.5000)  4 Nb 2.67, 4 Si 2.67, 4 V 2.91
V (0.5000, 0.0000, 0.5000)  4 Nb 2.67, 4 Si 2.67, 4 V 2.91
Si (0.5000, 0.5000, 0.0000)  8 V 2.67, 4 Nb 2.91

=====

Entry 2:
## RbTiCoSe3 (GGA-PBE)

Data for a relaxed RbTiCoSe3 crystal.

- ΔE_f (raw) (kcal/mol of atoms) = -21.731
- total magnetic moment (μB/atom) = 0.243
- symmetry = P2_1/m (11)

Cell: 9.0808 3.6852 9.8400 Å, 90.00 116.73 90.00°
Last column: nearest neighbours and their distance in Å.
Atoms (fractional coordinates):
Rb (0.2331, 0.2500, 0.2490)  7 Se 3.40-3.54, 2 Rb 3.69
Rb (0.7669, 0.7500, 0.7510)  7 Se 3.40-3.54, 2 Rb 3.69
Ti (0.3072, 0.7500, 0.8329)  6 Se 2.57-2.68
Ti (0.6928, 0.2500, 0.1671)  6 Se 2.57-2.68
Co (0.0841, 0.2500, 0.5999)  4 Se 2.37-2.41, 2 Co 2.63
Co (0.9159, 0.7500, 0.4001)  4 Se 2.37-2.41, 2 Co 2.63
Se (0.1222, 0.2500, 0.8555)  1 Co 2.38, 2 Ti 2.57
Se (0.2117, 0.7500, 0.5441)  3 Co 2.37-2.41, 1 Ti 2.57
Se (0.4741, 0.7500, 0.1370)  3 Ti 2.63-2.68
Se (0.5259, 0.2500, 0.8630)  3 Ti 2.63-2.68
Se (0.7883, 0.2500, 0.4559)  3 Co 2.37-2.41, 1 Ti 2.57
Se (0.8778, 0.7500, 0.1445)  1 Co 2.38, 2 Ti 2.57

=====

Entry 3:
## Hf6Tc5Au (GGA-PBE)

Data for a relaxed Hf6Tc5Au crystal.

- formation energy from the elements (eV/atom) = -0.533
- total magnetic moment (μB/atom) = 0.000
- symmetry = Immm (71)

Cell: 8.0127 8.0127 8.0127 Å, 146.34 131.39 60.43°
Last column: nearest neighbours and their distance in Å.
Atoms (fractional coordinates):
Hf (0.0726, 0.3290, 0.7436)  7 Tc 2.79-2.87, 1 Au 2.91
Hf (0.2372, 0.0000, 0.2372)  6 Tc 2.79-2.86, 2 Au 2.90, 1 Hf 3.13
Hf (0.4146, 0.6710, 0.7436)  7 Tc 2.79-2.87, 1 Au 2.91
Hf (0.5854, 0.3290, 0.2564)  7 Tc 2.79-2.87, 1 Au 2.91
Hf (0.7628, 0.0000, 0.7628)  6 Tc 2.79-2.86, 2 Au 2.90, 1 Hf 3.13
Hf (0.9274, 0.6710, 0.2564)  7 Tc 2.79-2.87, 1 Au 2.91
Tc (0.0000, 0.5000, 0.5000)  8 Hf 2.80-2.86
Tc (0.1672, 0.1672, 0.0000)  8 Hf 2.79-2.82
Tc (0.3358, 0.8358, 0.5000)  8 Hf 2.79-2.87
Tc (0.6642, 0.1642, 0.5000)  8 Hf 2.79-2.87
Tc (0.8328, 0.8328, 0.0000)  8 Hf 2.79-2.82
Au (0.5000, 0.5000, 0.0000)  8 Hf 2.90-2.91

=====

Entry 4:
## Ac2RuAu (GGA-PBE)

Data for a relaxed Ac2RuAu crystal.

- formation energy from the elements (eV/atom) = -0.367
- total magnetic moment (μB/atom) = 0.043
- symmetry = P4/mmm (123)

Cell: 3.7303 3.7303 7.9182 Å, 90.00 90.00 90.00°
Last column: nearest neighbours and their distance in Å.
Atoms (fractional coordinates):
Ac (0.0000, 0.0000, 0.2315)  4 Ru 3.21, 4 Au 3.39
Ac (0.0000, 0.0000, 0.7685)  4 Ru 3.21, 4 Au 3.39
Ru (0.5000, 0.5000, 0.0000)  8 Ac 3.21
Au (0.5000, 0.5000, 0.5000)  8 Ac 3.39, 4 Au 3.73

=====

Entry 5:
## KTlSbO3 (GGA-PBE)

Data for a relaxed KTlSbO3 crystal.

- ΔE_f (raw) (kcal/mol of atoms) = -26.564
- total magnetic moment (μB/atom) = 0.000
- symmetry = C2/c (15)

Cell: 7.2775 7.2775 5.8954 Å, 93.56 93.56 127.14°
Last column: nearest neighbours and their distance in Å.
Atoms (fractional coordinates):
K (0.0895, 0.9105, 0.7500)  5 O 2.65-2.79
K (0.9105, 0.0895, 0.2500)  5 O 2.65-2.79
Tl (0.2552, 0.7448, 0.2500)  6 O 2.99-3.33
Tl (0.7448, 0.2552, 0.7500)  6 O 2.99-3.33
Sb (0.4437, 0.5563, 0.7500)  5 O 1.97-2.14
Sb (0.5563, 0.4437, 0.2500)  5 O 1.97-2.14
O (0.2788, 0.3346, 0.0095)  2 Sb 2.07-2.14
O (0.2926, 0.7074, 0.7500)  1 Sb 1.97
O (0.3346, 0.2788, 0.5095)  2 Sb 2.07-2.14
O (0.6654, 0.7212, 0.4905)  2 Sb 2.07-2.14
O (0.7074, 0.2926, 0.2500)  1 Sb 1.97
O (0.7212, 0.6654, 0.9905)  2 Sb 2.07-2.14

=====

Entry 6:
## Nd3InGa3 (GGA-PBE)

Data for a relaxed Nd3InGa3 crystal.

- formation energy from the elements (eV/atom) = -0.576
- total magnetic moment (μB/atom) = 0.002
- symmetry = C2/m (12)

Cell: 6.1788 6.1788 14.7206 Å, 108.75 108.75 43.00°
Last column: nearest neighbours and their distance in Å.
Atoms (fractional coordinates):
Nd (0.0121, 0.0121, 0.3717)  6 Ga 3.18-3.34, 3 In 3.31-3.38
Nd (0.1107, 0.1107, 0.9287)  7 Ga 3.15-3.33
Nd (0.2353, 0.2353, 0.2202)  6 Ga 3.12-3.39, 2 In 3.45
Nd (0.7647, 0.7647, 0.7798)  6 Ga 3.12-3.39, 2 In 3.45
Nd (0.8893, 0.8893, 0.0713)  7 Ga 3.15-3.33
Nd (0.9879, 0.9879, 0.6283)  6 Ga 3.18-3.34, 3 In 3.31-3.38
In (0.2698, 0.2698, 0.6048)  4 Ga 2.78-2.91
In (0.7302, 0.7302, 0.3952)  4 Ga 2.78-2.91
Ga (0.3778, 0.3778, 0.4525)  1 Ga 2.67, 3 In 2.78-2.91
Ga (0.3963, 0.3963, 0.9241)  2 Ga 2.65
Ga (0.4834, 0.4834, 0.7791)  1 Ga 2.65, 1 In 2.87
Ga (0.5166, 0.5166, 0.2209)  1 Ga 2.65, 1 In 2.87
Ga (0.6037, 0.6037, 0.0759)  2 Ga 2.65
Ga (0.6222, 0.6222, 0.5475)  1 Ga 2.67, 3 In 2.78-2.91

=====

Entry 7:
## AlReSeBr2 (GGA-PBE)

Data for a relaxed AlReSeBr2 crystal.

- ΔE_f (raw) (kcal/mol of atoms) = 18.500
- total magnetic moment (μB/atom) = 1.123
- symmetry = P4/mmm (123)

Cell: 5.0456 5.0456 5.1065 Å, 90.00 90.00 90.00°
Last column: nearest neighbours and their distance in Å.
Atoms (fractional coordinates):
Al (0.0000, 0.0000, 0.0000)  4 Br 2.52, 2 Se 2.55
Re (0.5000, 0.5000, 0.5000)  4 Se 3.57, 8 Br 3.59
Se (0.0000, 0.0000, 0.5000)  2 Al 2.55
Br (0.0000, 0.5000, 0.0000)  2 Al 2.52
Br (0.5000, 0.0000, 0.0000)  2 Al 2.52

=====

Entry 8:
## Pa2BeB10 (GGA-PBE)

Data for a relaxed Pa2BeB10 crystal.

- formation energy from the elements (eV/atom) = -0.509
- total magnetic moment (μB/atom) = 0.000
- symmetry = Pbam (55)

Cell: 5.4950 10.8760 4.0983 Å, 90.00 90.00 90.00°
Last column: nearest neighbours and their distance in Å.
Atoms (fractional coordinates):
Pa (0.1946, 0.1355, 0.0000)  20 B 2.78-2.98, 2 Be 3.03
Pa (0.3054, 0.6355, 0.0000)  20 B 2.78-2.98, 2 Be 3.03
Pa (0.6946, 0.3645, 0.0000)  20 B 2.78-2.98, 2 Be 3.03
Pa (0.8054, 0.8645, 0.0000)  20 B 2.78-2.98, 2 Be 3.03
Be (0.0000, 0.5000, 0.5000)  8 B 2.02-2.07
Be (0.5000, 0.0000, 0.5000)  8 B 2.02-2.07
B (0.0233, 0.3150, 0.5000)  4 B 1.63-1.76
B (0.1300, 0.9632, 0.5000)  4 B 1.64-1.76
B (0.1610, 0.8026, 0.5000)  5 B 1.63-1.75
B (0.1961, 0.3892, 0.1984)  4 B 1.63-1.76
B (0.1961, 0.3892, 0.8016)  4 B 1.63-1.76
B (0.3039, 0.8892, 0.1984)  4 B 1.63-1.76
B (0.3039, 0.8892, 0.8016)  4 B 1.63-1.76
B (0.3390, 0.3026, 0.5000)  5 B 1.63-1.75
B (0.3700, 0.4632, 0.5000)  4 B 1.64-1.76
B (0.4767, 0.8150, 0.5000)  4 B 1.63-1.76
B (0.5233, 0.1850, 0.5000)  4 B 1.63-1.76
B (0.6300, 0.5368, 0.5000)  4 B 1.64-1.76
B (0.6610, 0.6974, 0.5000)  5 B 1.63-1.75
B (0.6961, 0.1108, 0.1984)  4 B 1.63-1.76
B (0.6961, 0.1108, 0.8016)  4 B 1.63-1.76
B (0.8039, 0.6108, 0.1984)  4 B 1.63-1.76
B (0.8039, 0.6108, 0.8016)  4 B 1.63-1.76
B (0.8390, 0.1974, 0.5000)  5 B 1.63-1.75
B (0.8700, 0.0368, 0.5000)  4 B 1.64-1.76
B (0.9767, 0.6850, 0.5000)  4 B 1.63-1.76

=====

Entry 9:
## La3Nd7Tm (GGA-PBE)

Data for a relaxed La3Nd7Tm crystal.

- formation energy from the elements (eV/atom) = 0.229
- total magnetic moment (μB/atom) = 0.000
- symmetry = Immm (71)

Cell: 8.6785 8.6785 8.6785 Å, 139.42 97.38 96.43°
Last column: nearest neighbours and their distance in Å.
Atoms (fractional coordinates):
La (0.0000, 0.0000, 0.0000)  4 Nd 3.28
La (0.2126, 0.5000, 0.7126)  5 Nd 3.29-3.63
La (0.7874, 0.5000, 0.2874)  5 Nd 3.29-3.63
Nd (0.0095, 0.8034, 0.2061)  2 La 3.28-3.63, 3 Nd 3.41-3.54
Nd (0.2100, 0.7100, 0.5000)  1 Tm 3.35, 2 La 3.44, 2 Nd 3.54
Nd (0.4027, 0.1966, 0.2061)  2 La 3.28-3.63, 3 Nd 3.41-3.54
Nd (0.5000, 0.5000, 0.0000)  2 Tm 3.01, 2 La 3.29
Nd (0.5973, 0.8034, 0.7939)  2 La 3.28-3.63, 3 Nd 3.41-3.54
Nd (0.7900, 0.2900, 0.5000)  1 Tm 3.35, 2 La 3.44, 2 Nd 3.54
Nd (0.9905, 0.1966, 0.7939)  2 La 3.28-3.63, 3 Nd 3.41-3.54
Tm (0.5000, 0.0000, 0.5000)  4 Nd 3.01-3.35

=====

Entry 10:
## TlSeO3 (GGA-PBE)

Data for a relaxed TlSeO3 crystal.

- ΔE_f (raw) (kcal/mol of atoms) = 14.029
- total magnetic moment (μB/atom) = 0.000
- symmetry = Pm-3m (221)

Cell: 4.1927 4.1927 4.1927 Å, 90.00 90.00 90.00°
Last column: nearest neighbours and their distance in Å.
Atoms (fractional coordinates):
Tl (0.0000, 0.0000, 0.0000)  6 O 2.10
Se (0.5000, 0.5000, 0.5000)  12 O 2.96
O (0.0000, 0.0000, 0.5000)  2 Tl 2.10
O (0.0000, 0.5000, 0.0000)  2 Tl 2.10
O (0.5000, 0.0000, 0.0000)  2 Tl 2.10

=====

Entry 11:
## InTcHg2 (GGA-PBE)

Data for a relaxed InTcHg2 crystal.

- formation energy from the elements (eV/atom) = 0.386
- total magnetic moment (μB/atom) = 0.000
- symmetry = Cm (8)

Cell: 7.0948 7.0948 4.8284 Å, 109.79 109.79 23.72°
Last column: nearest neighbours and their distance in Å.
Atoms (fractional coordinates):
In (0.0000, 0.0000, 0.0000)  2 Tc 2.78, 2 In 2.92
Tc (0.3183, 0.3183, 0.8180)  2 In 2.78, 6 Hg 2.82-2.84, 2 Tc 2.92
Hg (0.6317, 0.6317, 0.6294)  2 Tc 2.84, 2 Hg 2.92
Hg (0.8184, 0.8184, 0.3180)  4 Tc 2.82, 2 Hg 2.92

=====

Entry 12:
## Zr8SbPt2 (GGA-PBE)

Data for a relaxed Zr8SbPt2 crystal.

- ΔE_f (raw) (kcal/mol of atoms) = -9.416
- total magnetic moment (μB/atom) = 0.000
- symmetry = C2/m (12)

Cell: 7.6254 7.6254 4.9830 Å, 99.10 99.10 116.87°
Last column: nearest neighbours and their distance in Å.
Atoms (fractional coordinates):
Zr (0.0848, 0.3139, 0.5902)  2 Pt 2.75-2.97, 2 Zr 2.98-3.04
Zr (0.2334, 0.7666, 0.0000)  2 Pt 2.69
Zr (0.3139, 0.0848, 0.5902)  2 Pt 2.75-2.97, 2 Zr 2.98-3.04
Zr (0.3935, 0.3935, 0.1855)  2 Zr 2.87-3.08, 2 Pt 2.90, 1 Sb 2.99
Zr (0.6065, 0.6065, 0.8145)  2 Zr 2.87-3.08, 2 Pt 2.90, 1 Sb 2.99
Zr (0.6861, 0.9152, 0.4098)  2 Pt 2.75-2.97, 2 Zr 2.98-3.04
Zr (0.7666, 0.2334, 0.0000)  2 Pt 2.69
Zr (0.9152, 0.6861, 0.4098)  2 Pt 2.75-2.97, 2 Zr 2.98-3.04
Sb (0.0000, 0.0000, 0.0000)  12 Zr 2.99-3.30
Pt (0.3107, 0.6893, 0.5000)  8 Zr 2.69-2.97
Pt (0.6893, 0.3107, 0.5000)  8 Zr 2.69-2.97